{"formula": "Tb2AsRh3", "functional": "PBE", "state": "optimized geometry", "cell": [[-3.436, 3.788, -0.373], [-2.042, 1.394, 4.492], [1.698, 4.516, 1.735]], "species": ["Tb", "Tb", "As", "Rh", "Rh", "Rh"], "fractional_positions": [[0.372, 0.372, 0.372], [0.628, 0.628, 0.628], [0.000, 0.000, 0.000], [0.500, 0.000, 0.000], [0.000, 0.500, 0.000], [0.000, 0.000, 0.500]], "sg": "R-3m (166)", "magmom_total_mub_per_fu": 0.00, "formation_enthalpy_0k_ev_per_atom": -0.89, "dft_energy_ev_per_atom": -6.8890}

***

{"formula": "TbAs2Rh4", "functional": "PBE", "state": "optimized geometry", "cell": [[4.183, 0.000, 0.000], [0.000, 6.571, 0.000], [0.000, 0.000, 16.868]], "species": ["As", "As", "As", "As", "As", "As", "As", "As", "Rh", "Rh", "Rh", "Rh", "Rh", "Rh", "Rh", "Rh", "Rh", "Rh", "Rh", "Rh", "Rh", "Rh", "Rh", "Rh", "Tb", "Tb", "Tb", "Tb"], "fractional_positions": [[0.750, 0.099, 0.209], [0.250, 0.901, 0.791], [0.750, 0.401, 0.709], [0.250, 0.599, 0.291], [0.250, 0.752, 0.539], [0.750, 0.252, 0.961], [0.750, 0.248, 0.461], [0.250, 0.748, 0.039], [0.750, 0.789, 0.286], [0.250, 0.289, 0.214], [0.750, 0.124, 0.825], [0.250, 0.359, 0.030], [0.750, 0.492, 0.567], [0.250, 0.876, 0.175], [0.250, 0.624, 0.675], [0.250, 0.211, 0.714], [0.750, 0.859, 0.470], [0.750, 0.376, 0.325], [0.750, 0.711, 0.786], [0.250, 0.508, 0.433], [0.750, 0.641, 0.970], [0.250, 0.141, 0.530], [0.750, 0.008, 0.067], [0.250, 0.992, 0.933], [0.250, 0.464, 0.858], [0.750, 0.536, 0.142], [0.750, 0.964, 0.642], [0.250, 0.036, 0.358]], "sg": "Pnma (62)", "magmom_total_mub_per_fu": 0.00, "relative_energy_ev_per_atom": 0.030, "formation_enthalpy_0k_ev_per_atom": -0.68, "dft_energy_ev_per_atom": -6.8731}

***

{"formula": "TbAsRh2", "functional": "PBE", "state": "optimized geometry", "cell": [[-0.537, -2.542, -2.945], [3.646, 0.708, -1.276], [3.303, -7.082, 5.509]], "species": ["As", "As", "Rh", "Rh", "Rh", "Rh", "Tb", "Tb"], "fractional_positions": [[0.500, 0.000, 0.658], [0.000, 0.500, 0.342], [0.500, 0.500, 0.500], [0.500, 0.000, 0.910], [0.000, 0.500, 0.090], [0.000, 0.000, 0.500], [0.000, 0.500, 0.791], [0.500, 0.000, 0.209]], "sg": "P4/nmm (129)", "magmom_total_mub_per_fu": 0.00, "formation_enthalpy_0k_ev_per_atom": -0.81, "dft_energy_ev_per_atom": -6.8030}

***

{"formula": "Tb2As4Rh5", "functional": "PBE", "state": "optimized geometry", "cell": [[5.526, 0.000, 0.000], [2.763, 4.848, 0.000], [2.763, 0.000, 7.495]], "species": ["Rh", "Rh", "Rh", "Rh", "Rh", "Tb", "Tb", "As", "As", "As", "As"], "fractional_positions": [[0.750, 0.500, 0.500], [0.250, 0.500, 0.500], [0.000, 0.500, 0.000], [0.500, 0.000, 0.000], [0.500, 0.500, 0.000], [0.871, 0.000, 0.258], [0.129, 0.000, 0.742], [0.215, 0.313, 0.258], [0.527, 0.687, 0.258], [0.785, 0.687, 0.742], [0.473, 0.313, 0.742]], "sg": "Fmmm (69)", "magmom_total_mub_per_fu": 0.00, "formation_enthalpy_0k_ev_per_atom": -0.71, "dft_energy_ev_per_atom": -6.5842}

***

{"formula": "TbAsRh2", "functional": "PBE", "state": "optimized geometry", "cell": [[-0.440, 2.986, -2.870], [-7.670, -2.020, 2.096], [0.123, 6.116, 6.344]], "species": ["Tb", "Tb", "Tb", "Tb", "As", "As", "As", "As", "Rh", "Rh", "Rh", "Rh", "Rh", "Rh", "Rh", "Rh"], "fractional_positions": [[0.500, 0.000, 0.500], [0.695, 0.389, 0.250], [0.500, 0.000, 0.000], [0.305, 0.611, 0.750], [0.141, 0.282, 0.023], [0.859, 0.718, 0.523], [0.141, 0.282, 0.477], [0.859, 0.718, 0.977], [0.949, 0.899, 0.750], [0.051, 0.101, 0.250], [0.700, 0.401, 0.588], [0.884, 0.768, 0.250], [0.700, 0.401, 0.912], [0.300, 0.599, 0.412], [0.300, 0.599, 0.088], [0.116, 0.232, 0.750]], "sg": "Cmcm (63)", "magmom_total_mub_per_fu": 0.00, "formation_enthalpy_0k_ev_per_atom": -0.82, "dft_energy_ev_per_atom": -6.8108}

***

{"formula": "TbAs2Rh4", "functional": "PBE", "state": "optimized geometry", "cell": [[3.863, 0.000, 0.000], [0.000, 7.748, 0.000], [0.000, 0.000, 7.748]], "species": ["Rh", "Rh", "Rh", "Rh", "Rh", "Rh", "Rh", "Rh", "As", "As", "As", "As", "Tb", "Tb"], "fractional_positions": [[0.000, 0.670, 0.925], [0.000, 0.075, 0.330], [0.500, 0.575, 0.170], [0.500, 0.170, 0.575], [0.000, 0.925, 0.670], [0.000, 0.330, 0.075], [0.500, 0.830, 0.425], [0.500, 0.425, 0.830], [0.500, 0.729, 0.729], [0.000, 0.771, 0.229], [0.000, 0.229, 0.771], [0.500, 0.271, 0.271], [0.500, 0.000, 0.000], [0.000, 0.500, 0.500]], "sg": "P4_2/mnm (136)", "magmom_total_mub_per_fu": 0.00, "relative_energy_ev_per_atom": 0.000, "formation_enthalpy_0k_ev_per_atom": -0.71, "dft_energy_ev_per_atom": -6.9033}

***

{"formula": "Tb3As4Rh4", "functional": "PBE", "state": "optimized geometry", "cell": [[4.098, 0.000, 0.000], [0.000, 7.144, 0.000], [-2.049, -3.572, 6.864]], "species": ["Rh", "Rh", "Rh", "Rh", "Tb", "Tb", "Tb", "As", "As", "As", "As"], "fractional_positions": [[0.677, 0.881, 0.355], [0.323, 0.526, 0.645], [0.677, 0.474, 0.355], [0.323, 0.119, 0.645], [0.000, 0.500, 0.000], [0.875, 0.875, 0.750], [0.125, 0.125, 0.250], [0.500, 0.206, 0.000], [0.500, 0.794, 0.000], [0.217, 0.717, 0.434], [0.783, 0.283, 0.566]], "sg": "Immm (71)", "magmom_total_mub_per_fu": 0.00, "formation_enthalpy_0k_ev_per_atom": -1.05, "dft_energy_ev_per_atom": -6.6777}

***

{"formula": "Tb2As7Rh12", "functional": "PBE", "state": "optimized geometry", "cell": [[3.929, 0.000, 0.000], [0.000, 8.641, -4.989], [0.000, 0.000, 9.978]], "species": ["Rh", "Rh", "Rh", "Rh", "Rh", "Rh", "Rh", "Rh", "Rh", "Rh", "Rh", "Rh", "As", "As", "As", "As", "As", "As", "As", "Tb", "Tb"], "fractional_positions": [[0.250, 0.934, 0.552], [0.247, 0.115, 0.264], [0.750, 0.552, 0.619], [0.750, 0.381, 0.934], [0.753, 0.264, 0.149], [0.250, 0.619, 0.066], [0.247, 0.149, 0.885], [0.250, 0.448, 0.381], [0.753, 0.851, 0.115], [0.247, 0.736, 0.851], [0.750, 0.066, 0.448], [0.753, 0.885, 0.736], [0.751, 0.288, 0.405], [0.249, 0.712, 0.595], [0.751, 0.595, 0.882], [0.751, 0.118, 0.712], [0.500, 0.000, 0.000], [0.249, 0.882, 0.288], [0.249, 0.405, 0.118], [0.751, 0.667, 0.333], [0.249, 0.333, 0.667]], "sg": "P-3 (147)", "magmom_total_mub_per_fu": 0.00, "formation_enthalpy_0k_ev_per_atom": -0.70, "dft_energy_ev_per_atom": -6.8966}